[1]
This record from Alexandria describes an optimized crystal structure of Sc4RuRh2. The functional is PBE-GGA.

Formation enthalpy at 0 K: -70 kJ/mol of atoms
Fermi-level density of states: 0.6520 states/eV per atom

Cell lengths 7.776, 7.776, 7.776 Å; angles 34.10, 34.10, 34.10 degrees
Positions (direct):
1 Sc 0.124 0.124 0.124
2 Sc 0.375 0.375 0.375
3 Sc 0.625 0.625 0.625
4 Sc 0.876 0.876 0.876
5 Ru 0.500 0.500 0.500
6 Rh 0.249 0.249 0.249
7 Rh 0.751 0.751 0.751

[2]
This record from Alexandria describes an optimized crystal structure of ScRuRh2. The functional is PBE-GGA.

Formation enthalpy at 0 K: -34 kJ/mol of atoms
Fermi-level density of states: 0.9443 states/eV per atom

Cell lengths 9.167, 2.852, 4.789 Å; angles 90.00, 101.34, 90.00 degrees
Positions (direct):
1 Sc 0.000 0.000 0.000
2 Sc 0.500 0.500 0.000
3 Ru 0.256 0.500 0.304
4 Ru 0.756 0.000 0.304
5 Rh 0.247 0.000 0.770
6 Rh 0.498 0.000 0.489
7 Rh 0.747 0.500 0.770
8 Rh 0.998 0.500 0.489

[3]
This record from Alexandria describes an optimized crystal structure of Sc2RuRh. The functional is PBE-GGA.

Formation enthalpy at 0 K: -34 kJ/mol of atoms
Fermi-level density of states: 1.0843 states/eV per atom

Cell lengths 3.529, 3.529, 5.699 Å; angles 90.00, 90.00, 90.00 degrees
Positions (direct):
1 Sc 0.000 0.000 0.000
2 Sc 0.500 0.500 0.350
3 Ru 0.500 0.500 0.838
4 Rh 0.000 0.000 0.512

[4]
This record from Alexandria describes an optimized crystal structure of ScRuRh2. The functional is PBE-GGA.

Formation enthalpy at 0 K: -32 kJ/mol of atoms
Fermi-level density of states: 0.8888 states/eV per atom

Cell lengths 2.847, 3.825, 5.626 Å; angles 90.00, 90.00, 90.00 degrees
Positions (direct):
1 Sc 0.000 0.000 0.000
2 Ru 0.000 0.000 0.500
3 Rh 0.500 0.500 0.264
4 Rh 0.500 0.500 0.736

[5]
This record from Alexandria describes an optimized crystal structure of Sc4RuRh3. The functional is PBE-GGA.

Formation enthalpy at 0 K: -90 kJ/mol of atoms
Fermi-level density of states: 0.4130 states/eV per atom

Cell lengths 3.224, 4.558, 9.099 Å; angles 90.00, 90.00, 90.00 degrees
Positions (direct):
1 Sc 0.000 0.000 0.000
2 Sc 0.000 0.000 0.500
3 Sc 0.000 0.500 0.246
4 Sc 0.000 0.500 0.754
5 Ru 0.500 0.500 0.000
6 Rh 0.500 0.000 0.252
7 Rh 0.500 0.000 0.748
8 Rh 0.500 0.500 0.500

[6]
This record from Alexandria describes an optimized crystal structure of ScRuRh4. The functional is PBE-GGA.

Formation enthalpy at 0 K: -6 kJ/mol of atoms
Fermi-level density of states: 1.6210 states/eV per atom

Cell lengths 5.132, 5.132, 5.132 Å; angles 60.00, 60.00, 60.00 degrees
Positions (direct):
1 Sc 0.000 0.000 0.000
2 Ru 0.250 0.250 0.250
3 Rh 0.125 0.625 0.625
4 Rh 0.625 0.125 0.625
5 Rh 0.625 0.625 0.125
6 Rh 0.625 0.625 0.625

no.,M_tot (μB per formula unit)
1,0.0
2,0.0
3,0.0
4,0.0
5,0.0
6,3.3